The following is a PBE-GGA calculation of CeAl3Ni after structural relaxation, from the Alexandria database.

Values from the calculation:
energy of formation from the pure elements: -0.55 eV per atom
density: 5.17 g/cm³

The structure in CIF format:
```
data_CeAl3Ni
_chemical_formula_sum 'Ce4 Al12 Ni4'
_cell_length_a 4.094
_cell_length_b 8.175
_cell_length_c 10.728
_cell_angle_alpha 90.00
_cell_angle_beta 90.00
_cell_angle_gamma 90.00
_space_group_name_H-M_alt 'P 1'
_space_group_IT_number 1
loop_
_space_group_symop_operation_xyz
'x,y,z'
loop_
_atom_site_label
_atom_site_fract_x
_atom_site_fract_y
_atom_site_fract_z
Ni1 0.250 0.606 0.857
Al1 0.250 0.359 0.278
Ce1 0.750 0.322 0.493
Ni2 0.750 0.894 0.357
Al2 0.250 0.557 0.083
Al3 0.750 0.943 0.583
Ce2 0.250 0.678 0.507
Al4 0.250 0.057 0.417
Al5 0.750 0.616 0.283
Al6 0.250 0.884 0.783
Al7 0.250 0.859 0.222
Ce3 0.250 0.178 0.993
Al8 0.750 0.116 0.217
Ce4 0.750 0.822 0.007
Al9 0.750 0.641 0.722
Al10 0.750 0.443 0.917
Al11 0.250 0.384 0.717
Al12 0.750 0.141 0.778
Ni3 0.750 0.394 0.143
Ni4 0.250 0.106 0.643
```

The following is a PBE-GGA calculation of Ce2Al3Ni4 after structural relaxation, from the Alexandria database.

Values from the calculation:
energy of formation from the pure elements: -0.53 eV per atom
density: 6.78 g/cm³

The structure in CIF format:
```
data_Ce2Al3Ni4
_chemical_formula_sum 'Ce4 Al6 Ni8'
_cell_length_a 5.666
_cell_length_b 6.609
_cell_length_c 8.290
_cell_angle_alpha 90.00
_cell_angle_beta 109.98
_cell_angle_gamma 90.00
_space_group_name_H-M_alt 'P 1'
_space_group_IT_number 1
loop_
_space_group_symop_operation_xyz
'x,y,z'
loop_
_atom_site_label
_atom_site_fract_x
_atom_site_fract_y
_atom_site_fract_z
Al1 0.513 0.750 0.527
Ce1 0.896 0.423 0.792
Ni1 0.667 0.517 0.333
Ni2 0.333 0.483 0.667
Ni3 0.174 0.750 0.848
Ce2 0.396 0.077 0.792
Al2 0.013 0.750 0.527
Al3 0.500 0.500 0.000
Ni4 0.674 0.750 0.848
Ce3 0.604 0.923 0.208
Ni5 0.167 0.983 0.333
Ni6 0.833 0.017 0.667
Al4 0.487 0.250 0.473
Al5 0.000 0.000 0.000
Ce4 0.104 0.577 0.208
Ni7 0.326 0.250 0.152
Al6 0.987 0.250 0.473
Ni8 0.826 0.250 0.152
```

- The highest density belongs to which entry?
  Ce2Al3Ni4